1.
# BaNa2Li2 | the Alexandria database | meta-GGA SCAN | PBEsol geometry
# ΔE_f: 56 meV/atom
# energy above the most stable polymorph in this dataset: 0.000 eV per atom
data_BaNa2Li2
_space_group_name_H-M_alt 'P 4/m b m'
_space_group_IT_number 127
_space_group_name_Hall '-P 4 2ab'
_cell_length_a 9.571
_cell_length_b 9.571
_cell_length_c 3.732
_cell_angle_alpha 90.00
_cell_angle_beta 90.00
_cell_angle_gamma 90.00
loop_
_atom_site_label
_atom_site_type_symbol
_atom_site_fract_x
_atom_site_fract_y
_atom_site_fract_z
Ba1 Ba 0.000 0.000 0.000
Na1 Na 0.124 0.376 0.000
Li1 Li 0.173 0.673 0.500

***

2.
# Ba2Na2Li | the Alexandria database | meta-GGA SCAN | PBEsol geometry
# ΔE_f: 60 meV/atom
data_Ba2Na2Li
_space_group_name_H-M_alt 'P 4/m b m'
_space_group_IT_number 127
_space_group_name_Hall '-P 4 2ab'
_cell_length_a 8.552
_cell_length_b 8.552
_cell_length_c 6.010
_cell_angle_alpha 90.00
_cell_angle_beta 90.00
_cell_angle_gamma 90.00
loop_
_atom_site_label
_atom_site_type_symbol
_atom_site_fract_x
_atom_site_fract_y
_atom_site_fract_z
Ba1 Ba 0.179 0.321 0.000
Na1 Na 0.135 0.635 0.500
Li1 Li 0.000 0.000 0.500

***

3.
# Ba2NaLi | the Alexandria database | meta-GGA SCAN | PBEsol geometry
# ΔE_f: 30 meV/atom
data_Ba2NaLi
_space_group_name_H-M_alt 'F m -3 m'
_space_group_IT_number 225
_space_group_name_Hall '-F 4 2 3'
_cell_length_a 8.966
_cell_length_b 8.966
_cell_length_c 8.966
_cell_angle_alpha 90.00
_cell_angle_beta 90.00
_cell_angle_gamma 90.00
loop_
_atom_site_label
_atom_site_type_symbol
_atom_site_fract_x
_atom_site_fract_y
_atom_site_fract_z
Ba1 Ba 0.250 0.250 0.250
Na1 Na 0.000 0.000 0.000
Li1 Li 0.000 0.000 0.500

***

4.
# BaNa2Li2 | the Alexandria database | meta-GGA SCAN | PBEsol geometry
# ΔE_f: 63 meV/atom
# energy above the most stable polymorph in this dataset: 0.008 eV per atom
data_BaNa2Li2
_space_group_name_H-M_alt 'I 4/m m m'
_space_group_IT_number 139
_space_group_name_Hall '-I 4 2'
_cell_length_a 5.515
_cell_length_b 5.515
_cell_length_c 11.832
_cell_angle_alpha 90.00
_cell_angle_beta 90.00
_cell_angle_gamma 90.00
loop_
_atom_site_label
_atom_site_type_symbol
_atom_site_fract_x
_atom_site_fract_y
_atom_site_fract_z
Ba1 Ba 0.000 0.000 0.000
Na1 Na 0.000 0.000 0.366
Li1 Li 0.000 0.500 0.250

***

5.
# BaNaLiRe2 | the Alexandria database | meta-GGA SCAN | PBEsol geometry
# ΔE_f: 2722 meV/atom
data_BaNaLiRe2
_space_group_name_H-M_alt 'P 4/m m m'
_space_group_IT_number 123
_space_group_name_Hall '-P 4 2'
_cell_length_a 5.165
_cell_length_b 5.165
_cell_length_c 5.565
_cell_angle_alpha 90.00
_cell_angle_beta 90.00
_cell_angle_gamma 90.00
loop_
_atom_site_label
_atom_site_type_symbol
_atom_site_fract_x
_atom_site_fract_y
_atom_site_fract_z
Ba1 Ba 0.000 0.000 0.000
Na1 Na 0.000 0.000 0.500
Li1 Li 0.500 0.500 0.500
Re1 Re 0.000 0.500 0.000

***

6.
# BaLi3Nb | the Alexandria database | meta-GGA SCAN | PBEsol geometry
# ΔE_f: 1454 meV/atom
data_BaLi3Nb
_space_group_name_H-M_alt 'P m -3 m'
_space_group_IT_number 221
_space_group_name_Hall '-P 4 2 3'
_cell_length_a 4.887
_cell_length_b 4.887
_cell_length_c 4.887
_cell_angle_alpha 90.00
_cell_angle_beta 90.00
_cell_angle_gamma 90.00
loop_
_atom_site_label
_atom_site_type_symbol
_atom_site_fract_x
_atom_site_fract_y
_atom_site_fract_z
Ba1 Ba 0.000 0.000 0.000
Li1 Li 0.000 0.000 0.500
Nb1 Nb 0.500 0.500 0.500